(1)
# GGA-PBE Sc2AgP, optimized geometry
# Space group = P4/mmm, No. 123
# Formation enthalpy at 0 K = -0.5770 eV/atom
# Uncorrected energy = -5.808 eV per atom
# Energy above the most stable polymorph in this dataset = 0.177 eV/atom
# Total moment = 0.000 μB/atom
# Calculated volume = 20.6 Å³/atom
data_Sc2AgP
_space_group_name_H-M_alt 'P 1'
_space_group_IT_number 1
_cell_length_a 3.884
_cell_length_b 3.884
_cell_length_c 5.473
_cell_angle_alpha 90.00
_cell_angle_beta 90.00
_cell_angle_gamma 90.00
loop_
_space_group_symop_operation_xyz
'x,y,z'
loop_
_atom_site_label
_atom_site_type_symbol
_atom_site_fract_x
_atom_site_fract_y
_atom_site_fract_z
_atom_site_occupancy
Sc1 Sc 0.000 0.000 0.000 1
Sc2 Sc 0.500 0.500 0.500 1
Ag1 Ag 0.000 0.000 0.500 1
P1 P 0.500 0.500 0.000 1

---

(2)
# GGA-PBE Fe3RhS, optimized geometry
# Space group = Pm-3m, No. 221
# Uncorrected energy = -6.159 eV per atom
# Energy above the most stable polymorph in this dataset = 0.663 eV/atom
# Total moment = 2.200 μB/atom
# Calculated volume = 19.8 Å³/atom
# Raw formation energy = 117.2 kJ per mole of atoms
data_Fe3RhS
_space_group_name_H-M_alt 'P 1'
_space_group_IT_number 1
_cell_length_a 4.624
_cell_length_b 4.624
_cell_length_c 4.624
_cell_angle_alpha 90.00
_cell_angle_beta 90.00
_cell_angle_gamma 90.00
loop_
_space_group_symop_operation_xyz
'x,y,z'
loop_
_atom_site_label
_atom_site_type_symbol
_atom_site_fract_x
_atom_site_fract_y
_atom_site_fract_z
_atom_site_occupancy
Fe1 Fe 0.000 0.000 0.500 1
Fe2 Fe 0.000 0.500 0.000 1
Fe3 Fe 0.500 0.000 0.000 1
Rh1 Rh 0.000 0.000 0.000 1
S1 S 0.500 0.500 0.500 1

---

(3)
# GGA-PBE Th2CuAu, optimized geometry
# Space group = P2_1/m, No. 11
# Formation enthalpy at 0 K = -0.3686 eV/atom
# Uncorrected energy = -5.922 eV per atom
# Total moment = 0.000 μB/atom
# Calculated volume = 24.7 Å³/atom
data_Th2CuAu
_space_group_name_H-M_alt 'P 1'
_space_group_IT_number 1
_cell_length_a 6.219
_cell_length_b 4.367
_cell_length_c 7.649
_cell_angle_alpha 90.00
_cell_angle_beta 107.85
_cell_angle_gamma 90.00
loop_
_space_group_symop_operation_xyz
'x,y,z'
loop_
_atom_site_label
_atom_site_type_symbol
_atom_site_fract_x
_atom_site_fract_y
_atom_site_fract_z
_atom_site_occupancy
Th1 Th 0.195 0.250 0.427 1
Th2 Th 0.198 0.250 0.921 1
Th3 Th 0.802 0.750 0.079 1
Th4 Th 0.805 0.750 0.573 1
Cu1 Cu 0.352 0.750 0.713 1
Cu2 Cu 0.648 0.250 0.287 1
Au1 Au 0.368 0.750 0.217 1
Au2 Au 0.632 0.250 0.783 1

---

(4)
# GGA-PBE Pr3Mg4Pt4, optimized geometry
# Space group = Immm, No. 71
# Formation enthalpy at 0 K = -0.8735 eV/atom
# Uncorrected energy = -4.954 eV per atom
# Total moment = 0.000 μB/atom
# Calculated volume = 22.4 Å³/atom
data_Pr3Mg4Pt4
_space_group_name_H-M_alt 'P 1'
_space_group_IT_number 1
_cell_length_a 8.719
_cell_length_b 8.719
_cell_length_c 8.719
_cell_angle_alpha 152.75
_cell_angle_beta 125.27
_cell_angle_gamma 62.20
loop_
_space_group_symop_operation_xyz
'x,y,z'
loop_
_atom_site_label
_atom_site_type_symbol
_atom_site_fract_x
_atom_site_fract_y
_atom_site_fract_z
_atom_site_occupancy
Pr1 Pr 0.000 0.000 0.000 1
Pr2 Pr 0.384 0.884 0.500 1
Pr3 Pr 0.616 0.116 0.500 1
Mg1 Mg 0.017 0.325 0.692 1
Mg2 Mg 0.367 0.675 0.692 1
Mg3 Mg 0.633 0.325 0.308 1
Mg4 Mg 0.983 0.675 0.308 1
Pt1 Pt 0.231 0.231 0.000 1
Pt2 Pt 0.296 0.500 0.796 1
Pt3 Pt 0.704 0.500 0.204 1
Pt4 Pt 0.769 0.769 0.000 1

---

(5)
# GGA-PBE TmAlRh, optimized geometry
# Space group = P2_1/m, No. 11
# Formation enthalpy at 0 K = -0.9350 eV/atom
# Uncorrected energy = -6.123 eV per atom
# Total moment = 0.000 μB/atom
# Calculated volume = 18.8 Å³/atom
data_TmAlRh
_space_group_name_H-M_alt 'P 1'
_space_group_IT_number 1
_cell_length_a 6.894
_cell_length_b 4.133
_cell_length_c 11.857
_cell_angle_alpha 90.00
_cell_angle_beta 91.28
_cell_angle_gamma 90.00
loop_
_space_group_symop_operation_xyz
'x,y,z'
loop_
_atom_site_label
_atom_site_type_symbol
_atom_site_fract_x
_atom_site_fract_y
_atom_site_fract_z
_atom_site_occupancy
Tm1 Tm 0.031 0.250 0.124 1
Tm2 Tm 0.153 0.250 0.418 1
Tm3 Tm 0.465 0.750 0.787 1
Tm4 Tm 0.535 0.250 0.213 1
Tm5 Tm 0.847 0.750 0.582 1
Tm6 Tm 0.969 0.750 0.876 1
Al1 Al 0.139 0.250 0.700 1
Al2 Al 0.360 0.750 0.041 1
Al3 Al 0.495 0.750 0.416 1
Al4 Al 0.505 0.250 0.584 1
Al5 Al 0.640 0.250 0.959 1
Al6 Al 0.861 0.750 0.300 1
Rh1 Rh 0.236 0.750 0.250 1
Rh2 Rh 0.265 0.250 0.921 1
Rh3 Rh 0.268 0.750 0.588 1
Rh4 Rh 0.732 0.250 0.412 1
Rh5 Rh 0.735 0.750 0.079 1
Rh6 Rh 0.764 0.250 0.750 1

---

(6)
# GGA-PBE Na2Pm4Sb3O2, optimized geometry
# Space group = I4/mmm, No. 139
# Uncorrected energy = -5.518 eV per atom
# Total moment = 0.000 μB/atom
# Calculated volume = 27.2 Å³/atom
# Raw formation energy = -147.1 kJ per mole of atoms
data_Na2Pm4Sb3O2
_space_group_name_H-M_alt 'P 1'
_space_group_IT_number 1
_cell_length_a 13.164
_cell_length_b 13.164
_cell_length_c 13.164
_cell_angle_alpha 158.75
_cell_angle_beta 158.75
_cell_angle_gamma 30.23
loop_
_space_group_symop_operation_xyz
'x,y,z'
loop_
_atom_site_label
_atom_site_type_symbol
_atom_site_fract_x
_atom_site_fract_y
_atom_site_fract_z
_atom_site_occupancy
Na1 Na 0.202 0.202 0.000 1
Na2 Na 0.798 0.798 0.000 1
Pm1 Pm 0.089 0.589 0.500 1
Pm2 Pm 0.411 0.911 0.500 1
Pm3 Pm 0.589 0.089 0.500 1
Pm4 Pm 0.911 0.411 0.500 1
Sb1 Sb 0.329 0.329 0.000 1
Sb2 Sb 0.500 0.500 0.000 1
Sb3 Sb 0.671 0.671 0.000 1
O1 O 0.091 0.091 0.000 1
O2 O 0.909 0.909 0.000 1

---

(7)
# GGA-PBE SrZr2MnN4, optimized geometry
# Space group = Cmcm, No. 63
# Uncorrected energy = -8.834 eV per atom
# Total moment = 0.000 μB/atom
# Calculated volume = 13.1 Å³/atom
# Raw formation energy = -113.6 kJ per mole of atoms
data_SrZr2MnN4
_space_group_name_H-M_alt 'P 1'
_space_group_IT_number 1
_cell_length_a 5.890
_cell_length_b 5.890
_cell_length_c 11.306
_cell_angle_alpha 90.00
_cell_angle_beta 90.00
_cell_angle_gamma 147.70
loop_
_space_group_symop_operation_xyz
'x,y,z'
loop_
_atom_site_label
_atom_site_type_symbol
_atom_site_fract_x
_atom_site_fract_y
_atom_site_fract_z
_atom_site_occupancy
Sr1 Sr 0.099 0.901 0.750 1
Sr2 Sr 0.901 0.099 0.250 1
Zr1 Zr 0.366 0.634 0.544 1
Zr2 Zr 0.366 0.634 0.956 1
Zr3 Zr 0.634 0.366 0.044 1
Zr4 Zr 0.634 0.366 0.456 1
Mn1 Mn 0.168 0.832 0.250 1
Mn2 Mn 0.832 0.168 0.750 1
N1 N 0.000 0.000 0.000 1
N2 N 0.000 0.000 0.500 1
N3 N 0.261 0.739 0.114 1
N4 N 0.261 0.739 0.386 1
N5 N 0.410 0.590 0.750 1
N6 N 0.590 0.410 0.250 1
N7 N 0.739 0.261 0.614 1
N8 N 0.739 0.261 0.886 1

---

(8)
# GGA-PBE CuPbCl4, optimized geometry
# Space group = F-43m, No. 216
# Uncorrected energy = -2.139 eV per atom
# Energy above the most stable polymorph in this dataset = 1.160 eV/atom
# Total moment = 0.253 μB/atom
# Calculated volume = 24.8 Å³/atom
# Raw formation energy = 37.9 kJ per mole of atoms
data_CuPbCl4
_space_group_name_H-M_alt 'P 1'
_space_group_IT_number 1
_cell_length_a 5.946
_cell_length_b 5.946
_cell_length_c 5.946
_cell_angle_alpha 60.00
_cell_angle_beta 60.00
_cell_angle_gamma 60.00
loop_
_space_group_symop_operation_xyz
'x,y,z'
loop_
_atom_site_label
_atom_site_type_symbol
_atom_site_fract_x
_atom_site_fract_y
_atom_site_fract_z
_atom_site_occupancy
Cu1 Cu 0.000 0.000 0.000 1
Pb1 Pb 0.750 0.750 0.750 1
Cl1 Cl 0.374 0.374 0.374 1
Cl2 Cl 0.374 0.374 0.878 1
Cl3 Cl 0.374 0.878 0.374 1
Cl4 Cl 0.878 0.374 0.374 1

---

(9)
# GGA-PBE GdTiNi4, optimized geometry
# Space group = F-43m, No. 216
# Formation enthalpy at 0 K = -0.3054 eV/atom
# Uncorrected energy = -7.822 eV per atom
# Total moment = 1.221 μB/atom
# Calculated volume = 14.1 Å³/atom
data_GdTiNi4
_space_group_name_H-M_alt 'P 1'
_space_group_IT_number 1
_cell_length_a 4.932
_cell_length_b 4.932
_cell_length_c 4.932
_cell_angle_alpha 60.00
_cell_angle_beta 60.00
_cell_angle_gamma 60.00
loop_
_space_group_symop_operation_xyz
'x,y,z'
loop_
_atom_site_label
_atom_site_type_symbol
_atom_site_fract_x
_atom_site_fract_y
_atom_site_fract_z
_atom_site_occupancy
Gd1 Gd 0.000 0.000 0.000 1
Ti1 Ti 0.250 0.250 0.250 1
Ni1 Ni 0.128 0.624 0.624 1
Ni2 Ni 0.624 0.128 0.624 1
Ni3 Ni 0.624 0.624 0.128 1
Ni4 Ni 0.624 0.624 0.624 1

---

(10)
# GGA-PBE Dy3TlI7, optimized geometry
# Space group = P3m1, No. 156
# Uncorrected energy = -3.496 eV per atom
# Total moment = 0.068 μB/atom
# Calculated volume = 42.7 Å³/atom
# Raw formation energy = -100.3 kJ per mole of atoms
data_Dy3TlI7
_space_group_name_H-M_alt 'P 1'
_space_group_IT_number 1
_cell_length_a 8.382
_cell_length_b 8.382
_cell_length_c 7.715
_cell_angle_alpha 90.00
_cell_angle_beta 90.00
_cell_angle_gamma 120.00
loop_
_space_group_symop_operation_xyz
'x,y,z'
loop_
_atom_site_label
_atom_site_type_symbol
_atom_site_fract_x
_atom_site_fract_y
_atom_site_fract_z
_atom_site_occupancy
Dy1 Dy 0.178 0.356 0.000 1
Dy2 Dy 0.178 0.822 0.000 1
Dy3 Dy 0.644 0.822 0.000 1
Tl1 Tl 0.333 0.667 0.358 1
I1 I 0.000 0.000 0.766 1
I2 I 0.337 0.169 0.229 1
I3 I 0.502 0.004 0.752 1
I4 I 0.502 0.498 0.752 1
I5 I 0.831 0.169 0.229 1
I6 I 0.831 0.663 0.229 1
I7 I 0.996 0.498 0.752 1

---

(11)
# GGA-PBE AlIn2Pt, optimized geometry
# Space group = P2/m, No. 10
# Formation enthalpy at 0 K = -0.1536 eV/atom
# Uncorrected energy = -3.969 eV per atom
# Total moment = 0.000 μB/atom
# Calculated volume = 23.2 Å³/atom
data_AlIn2Pt
_space_group_name_H-M_alt 'P 1'
_space_group_IT_number 1
_cell_length_a 4.190
_cell_length_b 4.505
_cell_length_c 4.982
_cell_angle_alpha 90.00
_cell_angle_beta 99.95
_cell_angle_gamma 90.00
loop_
_space_group_symop_operation_xyz
'x,y,z'
loop_
_atom_site_label
_atom_site_type_symbol
_atom_site_fract_x
_atom_site_fract_y
_atom_site_fract_z
_atom_site_occupancy
Al1 Al 0.000 0.000 0.000 1
In1 In 0.323 0.500 0.726 1
In2 In 0.677 0.500 0.274 1
Pt1 Pt 0.000 0.000 0.500 1